{
  "formula": "ZnNiRh",
  "functional": "PBE",
  "state": "optimized geometry",
  "lattice_angstrom": [[-0.0809, -3.0735, 2.6706], [-2.3128, -3.2716, -0.7301], [1.7443, -3.5587, -0.9375]],
  "species": ["Ni", "Rh", "Zn"],
  "frac_coords": [[0.5000, 0.5000, 0.5000], [0.7500, 0.7500, 0.7500], [0.0000, 0.0000, 0.0000]],
  "crystal_system": "cubic",
  "dos_at_fermi_per_ev_atom": 1.3882,
  "mass_density_g_cm3": 7.89,
  "relative_energy_ev_per_fu": 1.27,
  "e_form_mev_per_atom": 252
}

{
  "formula": "ScBeAs",
  "functional": "PBE",
  "state": "optimized geometry",
  "lattice_angstrom": [[-2.9069, 0.9483, -2.2018], [-0.6221, -1.3967, 3.4438], [0.0576, 3.4440, 1.4072]],
  "species": ["Sc", "Be", "As"],
  "frac_coords": [[0.3333, 0.6667, 0.6665], [0.6667, 0.3333, 0.1673], [0.0000, 0.0000, 0.1661]],
  "crystal_system": "hexagonal",
  "dos_at_fermi_per_ev_atom": 0.1500,
  "mass_density_g_cm3": 4.68,
  "relative_energy_ev_per_fu": 0.00,
  "e_form_mev_per_atom": -750
}

{
  "formula": "Pm6AgHg2",
  "functional": "PBE",
  "state": "optimized geometry",
  "lattice_angstrom": [[5.1699, 0.0000, -0.1909], [0.0000, 7.4126, 0.0000], [-2.2752, -3.7063, 7.8730]],
  "species": ["Pm", "Pm", "Pm", "Pm", "Pm", "Pm", "Ag", "Hg", "Hg"],
  "frac_coords": [[0.1649, 0.4131, 0.3302], [0.8351, 0.0828, 0.6698], [0.8351, 0.5869, 0.6698], [0.5000, 0.2470, 0.0000], [0.1649, 0.9172, 0.3302], [0.5000, 0.7530, 0.0000], [0.0000, 0.0000, 0.0000], [0.6659, 0.6663, 0.3326], [0.3341, 0.3337, 0.6674]],
  "crystal_system": "monoclinic",
  "dos_at_fermi_per_ev_atom": 1.8049,
  "mass_density_g_cm3": 7.67,
  "e_form_mev_per_atom": -36
}

{
  "formula": "Tl3HBr4",
  "functional": "PBE",
  "state": "optimized geometry",
  "lattice_angstrom": [[8.5146, 0.0000, 0.0000], [0.0000, 8.2473, 0.0000], [0.0000, 0.0000, 8.6868]],
  "species": ["Tl", "Tl", "Tl", "Tl", "Tl", "Tl", "H", "H", "Br", "Br", "Br", "Br", "Br", "Br", "Br", "Br"],
  "frac_coords": [[0.4415, 0.9868, 0.0000], [0.9066, 0.5153, 0.2309], [0.4066, 0.4847, 0.2691], [0.9415, 0.0132, 0.5000], [0.4066, 0.4847, 0.7309], [0.9066, 0.5153, 0.7691], [0.1293, 0.1799, 0.0000], [0.6293, 0.8201, 0.5000], [0.2198, 0.6634, 0.0000], [0.6246, 0.3429, 0.0000], [0.1434, 0.1756, 0.1967], [0.6434, 0.8244, 0.3033], [0.1246, 0.6571, 0.5000], [0.7198, 0.3366, 0.5000], [0.6434, 0.8244, 0.6967], [0.1434, 0.1756, 0.8033]],
  "crystal_system": "orthorhombic",
  "dos_at_fermi_per_ev_atom": 0.0000,
  "total_energy_ev_per_atom": -2.821,
  "mass_density_g_cm3": 5.08
}